VASP calculation (PBE) on a relaxed Dy8Cu2Rh crystal.

Output
total DFT energy (no corrections) = -5.003 eV/atom
formation energy from the elements = -0.243 eV per atom
DOS(E_F) = 9.4 states/eV/f.u.
energy relative to the lowest polymorph listed for this composition = 0.0 kJ per mole of atoms
total magnetization = 0.000 μB per atom

Cell lengths 8.9869, 8.9869, 6.6645 Å; angles 105.54, 105.54, 32.90 degrees
Fractional positions:
Dy  0.0326  0.0326  0.2894
Dy  0.1995  0.1995  0.8262
Dy  0.3334  0.3334  0.5209
Dy  0.4099  0.4099  0.0558
Dy  0.5901  0.5901  0.9442
Dy  0.6666  0.6666  0.4791
Dy  0.8005  0.8005  0.1738
Dy  0.9674  0.9674  0.7106
Cu  0.1850  0.1850  0.2261
Cu  0.8150  0.8150  0.7739
Rh  0.5000  0.5000  0.5000

VASP calculation (PBE) on a relaxed NbNiB crystal.

Output
total DFT energy (no corrections) = -6.668 eV/atom
formation energy from the elements = 0.841 eV per atom
DOS(E_F) = 3.6 states/eV/f.u.
total magnetization = 0.000 μB per atom

Cell lengths 6.3745, 6.3745, 6.3745 Å; angles 156.08, 156.08, 34.09 degrees
Fractional positions:
Nb  0.0000  0.0000  0.0000
Ni  0.6631  0.6631  0.0000
B  0.8143  0.8143  0.0000

VASP calculation (PBE) on a relaxed BaBeV crystal.

Output
total DFT energy (no corrections) = -4.586 eV/atom
formation energy from the elements = 0.336 eV per atom
DOS(E_F) = 2.3 states/eV/f.u.
energy relative to the lowest polymorph listed for this composition = 0.1 kJ per mole of atoms
total magnetization = 0.000 μB per atom

Cell lengths 3.9297, 3.9297, 11.2464 Å; angles 99.79, 99.79, 60.82 degrees
Fractional positions:
Ba  0.0000  0.0000  0.0000
Ba  0.2058  0.2058  0.6333
Be  0.1108  0.1108  0.3167
Be  0.7812  0.7812  0.3167
V  0.4162  0.4162  0.2260
V  0.4756  0.4756  0.4076

VASP calculation (PBE) on a relaxed Pr4Ho3Te8 crystal.

Output
total DFT energy (no corrections) = -5.264 eV/atom
DOS(E_F) = 7.0 states/eV/f.u.
total magnetization = 0.000 μB per atom
ΔE_f (raw) = -1.398 eV per atom

Cell lengths 8.8464, 8.8464, 8.8468 Å; angles 119.95, 119.95, 90.04 degrees
Fractional positions:
Pr  0.0000  0.0000  0.0000
Pr  0.0000  0.0000  0.5000
Pr  0.0000  0.5000  0.0000
Pr  0.5000  0.0000  0.0000
Ho  0.0000  0.5000  0.5000
Ho  0.5000  0.0000  0.5000
Ho  0.5000  0.5000  0.0000
Te  0.2551  0.7449  0.0000
Te  0.2596  0.7404  0.5000
Te  0.2645  0.2645  0.0186
Te  0.2647  0.2647  0.5101
Te  0.7353  0.7353  0.4899
Te  0.7355  0.7355  0.9814
Te  0.7404  0.2596  0.5000
Te  0.7449  0.2551  0.0000